# KHf2Bi2 GGA-PBE optimized geometry
# Energy relative to the elements (kJ/mol of atoms): 12.0
# SG: P4/mbm (127)
# Excess energy over the best structure of this formula in the dataset (eV/f.u.): 1.00
# Volume (Å³/cell): 285.08
data_KHf2Bi2
_chemical_formula_sum 'K2 Hf4 Bi4'
_cell_length_a 8.813
_cell_length_b 8.813
_cell_length_c 3.670
_cell_angle_alpha 90.00
_cell_angle_beta 90.00
_cell_angle_gamma 90.00
_space_group_name_H-M_alt 'P 1'
_space_group_IT_number 1
loop_
_space_group_symop_operation_xyz
'x,y,z'
loop_
_atom_site_label
_atom_site_type_symbol
_atom_site_fract_x
_atom_site_fract_y
_atom_site_fract_z
K1 K 0.000 0.000 0.000
K2 K 0.500 0.500 0.000
Hf1 Hf 0.121 0.621 0.500
Hf2 Hf 0.621 0.879 0.500
Hf3 Hf 0.879 0.379 0.500
Hf4 Hf 0.379 0.121 0.500
Bi1 Bi 0.341 0.841 0.000
Bi2 Bi 0.841 0.659 0.000
Bi3 Bi 0.659 0.159 0.000
Bi4 Bi 0.159 0.341 0.000

# K2MnCdI6 GGA-PBE optimized geometry
# SG: P-1 (2)
# Formation energy (no corrections) (eV per atom): -0.8394
# Volume (Å³/cell): 394.19
data_K2MnCdI6
_chemical_formula_sum 'K2 Mn1 Cd1 I6'
_cell_length_a 8.263
_cell_length_b 8.268
_cell_length_c 8.200
_cell_angle_alpha 59.66
_cell_angle_beta 59.72
_cell_angle_gamma 59.96
_space_group_name_H-M_alt 'P 1'
_space_group_IT_number 1
loop_
_space_group_symop_operation_xyz
'x,y,z'
loop_
_atom_site_label
_atom_site_type_symbol
_atom_site_fract_x
_atom_site_fract_y
_atom_site_fract_z
K1 K 0.542 0.542 0.374
K2 K 0.090 0.090 0.729
Mn1 Mn 0.316 0.316 0.051
Cd1 Cd 0.816 0.816 0.551
I1 I 0.559 0.152 0.297
I2 I 0.152 0.992 0.298
I3 I 0.993 0.560 0.296
I4 I 0.481 0.640 0.805
I5 I 0.640 0.073 0.807
I6 I 0.073 0.480 0.806

# Tb4Nd2Sb3H2 GGA-PBE optimized geometry
# SG: I4/mmm (139)
# Raw total energy (eV/atom): -5.045
# Volume (Å³/cell): 275.67
data_Tb4Nd2Sb3H2
_chemical_formula_sum 'Tb4 Nd2 Sb3 H2'
_cell_length_a 4.701
_cell_length_b 4.701
_cell_length_c 12.910
_cell_angle_alpha 100.49
_cell_angle_beta 100.49
_cell_angle_gamma 90.00
_space_group_name_H-M_alt 'P 1'
_space_group_IT_number 1
loop_
_space_group_symop_operation_xyz
'x,y,z'
loop_
_atom_site_label
_atom_site_type_symbol
_atom_site_fract_x
_atom_site_fract_y
_atom_site_fract_z
Tb1 Tb 0.418 0.918 0.837
Tb2 Tb 0.918 0.418 0.837
Tb3 Tb 0.082 0.582 0.163
Tb4 Tb 0.582 0.082 0.163
Nd1 Nd 0.302 0.302 0.603
Nd2 Nd 0.698 0.698 0.397
Sb1 Sb 0.000 0.000 0.000
Sb2 Sb 0.172 0.172 0.344
Sb3 Sb 0.828 0.828 0.656
H1 H 0.401 0.401 0.802
H2 H 0.599 0.599 0.198

# La4Bi2SN2 GGA-PBE optimized geometry
# SG: C2/m (12)
# Formation energy (no corrections) (eV per atom): -1.3979
# Volume (Å³/cell): 256.90
data_La4Bi2SN2
_chemical_formula_sum 'La4 Bi2 S1 N2'
_cell_length_a 4.310
_cell_length_b 8.332
_cell_length_c 7.993
_cell_angle_alpha 110.81
_cell_angle_beta 105.64
_cell_angle_gamma 90.00
_space_group_name_H-M_alt 'P 1'
_space_group_IT_number 1
loop_
_space_group_symop_operation_xyz
'x,y,z'
loop_
_atom_site_label
_atom_site_type_symbol
_atom_site_fract_x
_atom_site_fract_y
_atom_site_fract_z
La1 La 0.214 0.141 0.427
La2 La 0.786 0.859 0.573
La3 La 0.528 0.785 0.055
La4 La 0.472 0.215 0.945
Bi1 Bi 0.109 0.537 0.219
Bi2 Bi 0.891 0.463 0.781
S1 S 0.000 0.000 0.000
N1 N 0.674 0.987 0.348
N2 N 0.326 0.013 0.652

# LiBe2Cd2 GGA-PBE optimized geometry
# Energy relative to the elements (kJ/mol of atoms): 19.3
# SG: I4/mmm (139)
# Excess energy over the best structure of this formula in the dataset (eV/f.u.): 0.13
# Volume (Å³/cell): 78.27
data_LiBe2Cd2
_chemical_formula_sum 'Li1 Be2 Cd2'
_cell_length_a 2.999
_cell_length_b 2.999
_cell_length_c 8.957
_cell_angle_alpha 80.36
_cell_angle_beta 80.36
_cell_angle_gamma 90.00
_space_group_name_H-M_alt 'P 1'
_space_group_IT_number 1
loop_
_space_group_symop_operation_xyz
'x,y,z'
loop_
_atom_site_label
_atom_site_type_symbol
_atom_site_fract_x
_atom_site_fract_y
_atom_site_fract_z
Be1 Be 0.750 0.250 0.500
Be2 Be 0.250 0.750 0.500
Li1 Li 0.000 0.000 0.000
Cd1 Cd 0.383 0.383 0.234
Cd2 Cd 0.617 0.617 0.766

# Nd6Sm3DyHo2 GGA-PBE optimized geometry
# Energy relative to the elements (kJ/mol of atoms): 1.2
# SG: C2/m (12)
# Volume (Å³/cell): 405.13
data_Nd6Sm3DyHo2
_chemical_formula_sum 'Nd6 Sm3 Dy1 Ho2'
_cell_length_a 6.302
_cell_length_b 6.302
_cell_length_c 11.963
_cell_angle_alpha 95.03
_cell_angle_beta 95.03
_cell_angle_gamma 120.00
_space_group_name_H-M_alt 'P 1'
_space_group_IT_number 1
loop_
_space_group_symop_operation_xyz
'x,y,z'
loop_
_atom_site_label
_atom_site_type_symbol
_atom_site_fract_x
_atom_site_fract_y
_atom_site_fract_z
Nd1 Nd 0.917 0.584 0.753
Nd2 Nd 0.750 0.750 0.247
Nd3 Nd 0.083 0.416 0.247
Nd4 Nd 0.584 0.917 0.753
Nd5 Nd 0.250 0.250 0.753
Nd6 Nd 0.416 0.083 0.247
Sm1 Sm 0.167 0.833 0.500
Sm2 Sm 0.833 0.167 0.500
Sm3 Sm 0.500 0.500 0.500
Dy1 Dy 0.000 0.000 0.000
Ho1 Ho 0.333 0.667 0.000
Ho2 Ho 0.667 0.333 0.000

# UPtRhN GGA-PBE optimized geometry
# SG: P4/nmm (129)
# Formation energy (no corrections) (eV per atom): -0.6512
# Volume (Å³/cell): 127.87
data_UPtRhN
_chemical_formula_sum 'U2 Pt2 Rh2 N2'
_cell_length_a 3.750
_cell_length_b 3.750
_cell_length_c 9.094
_cell_angle_alpha 90.00
_cell_angle_beta 90.00
_cell_angle_gamma 90.00
_space_group_name_H-M_alt 'P 1'
_space_group_IT_number 1
loop_
_space_group_symop_operation_xyz
'x,y,z'
loop_
_atom_site_label
_atom_site_type_symbol
_atom_site_fract_x
_atom_site_fract_y
_atom_site_fract_z
U1 U 0.000 0.500 0.865
U2 U 0.500 0.000 0.135
Pt1 Pt 0.500 0.000 0.712
Pt2 Pt 0.000 0.500 0.288
Rh1 Rh 0.000 0.000 0.500
Rh2 Rh 0.500 0.500 0.500
N1 N 0.500 0.500 0.000
N2 N 0.000 0.000 0.000

# DyHgPd GGA-PBE optimized geometry
# Energy relative to the elements (kJ/mol of atoms): -66.9
# SG: Pmma (51)
# Volume (Å³/cell): 394.20
data_DyHgPd
_chemical_formula_sum 'Dy6 Hg6 Pd6'
_cell_length_a 3.717
_cell_length_b 7.848
_cell_length_c 13.513
_cell_angle_alpha 90.00
_cell_angle_beta 90.00
_cell_angle_gamma 90.00
_space_group_name_H-M_alt 'P 1'
_space_group_IT_number 1
loop_
_space_group_symop_operation_xyz
'x,y,z'
loop_
_atom_site_label
_atom_site_type_symbol
_atom_site_fract_x
_atom_site_fract_y
_atom_site_fract_z
Dy1 Dy 0.000 0.233 0.950
Dy2 Dy 0.000 0.767 0.050
Dy3 Dy 0.000 0.233 0.550
Dy4 Dy 0.000 0.767 0.450
Dy5 Dy 0.000 0.178 0.250
Dy6 Dy 0.000 0.822 0.750
Hg1 Hg 0.500 0.431 0.106
Hg2 Hg 0.500 0.569 0.894
Hg3 Hg 0.500 0.431 0.394
Hg4 Hg 0.500 0.569 0.606
Hg5 Hg 0.500 0.826 0.250
Hg6 Hg 0.500 0.174 0.750
Pd1 Pd 0.500 0.066 0.094
Pd2 Pd 0.500 0.934 0.906
Pd3 Pd 0.500 0.066 0.406
Pd4 Pd 0.500 0.934 0.594
Pd5 Pd 0.000 0.555 0.250
Pd6 Pd 0.000 0.445 0.750

# Pa2SeS3 GGA-PBE optimized geometry
# SG: R-3c (167)
# Formation energy (no corrections) (eV per atom): -1.2383
# Excess energy over the best structure of this formula in the dataset (eV/f.u.): 1.62
# Volume (Å³/cell): 290.84
data_Pa2SeS3
_chemical_formula_sum 'Pa4 Se2 S6'
_cell_length_a 7.469
_cell_length_b 7.469
_cell_length_c 7.469
_cell_angle_alpha 59.44
_cell_angle_beta 59.44
_cell_angle_gamma 59.44
_space_group_name_H-M_alt 'P 1'
_space_group_IT_number 1
loop_
_space_group_symop_operation_xyz
'x,y,z'
loop_
_atom_site_label
_atom_site_type_symbol
_atom_site_fract_x
_atom_site_fract_y
_atom_site_fract_z
Pa1 Pa 0.354 0.354 0.354
Pa2 Pa 0.146 0.146 0.146
Pa3 Pa 0.854 0.854 0.854
Pa4 Pa 0.646 0.646 0.646
Se1 Se 0.500 0.500 0.500
Se2 Se 0.000 0.000 0.000
S1 S 0.482 0.018 0.750
S2 S 0.018 0.750 0.482
S3 S 0.750 0.482 0.018
S4 S 0.518 0.982 0.250
S5 S 0.982 0.250 0.518
S6 S 0.250 0.518 0.982

# SbTe3 GGA-PBE optimized geometry
# SG: Pm-3m (221)
# Formation energy (no corrections) (eV per atom): 0.6148
# Excess energy over the best structure of this formula in the dataset (eV/f.u.): 2.42
# Volume (Å³/cell): 198.11
data_SbTe3
_chemical_formula_sum 'Sb1 Te3'
_cell_length_a 5.830
_cell_length_b 5.830
_cell_length_c 5.830
_cell_angle_alpha 90.00
_cell_angle_beta 90.00
_cell_angle_gamma 90.00
_space_group_name_H-M_alt 'P 1'
_space_group_IT_number 1
loop_
_space_group_symop_operation_xyz
'x,y,z'
loop_
_atom_site_label
_atom_site_type_symbol
_atom_site_fract_x
_atom_site_fract_y
_atom_site_fract_z
Sb1 Sb 0.000 0.000 0.000
Te1 Te 0.500 0.000 0.000
Te2 Te 0.000 0.500 0.000
Te3 Te 0.000 0.000 0.500

# La2PaAs3Pt4 GGA-PBE optimized geometry
# Energy relative to the elements (kJ/mol of atoms): -88.3
# SG: P-4m2 (115)
# Volume (Å³/cell): 214.57
data_La2PaAs3Pt4
_chemical_formula_sum 'La2 Pa1 As3 Pt4'
_cell_length_a 4.263
_cell_length_b 4.263
_cell_length_c 11.809
_cell_angle_alpha 90.00
_cell_angle_beta 90.00
_cell_angle_gamma 90.00
_space_group_name_H-M_alt 'P 1'
_space_group_IT_number 1
loop_
_space_group_symop_operation_xyz
'x,y,z'
loop_
_atom_site_label
_atom_site_type_symbol
_atom_site_fract_x
_atom_site_fract_y
_atom_site_fract_z
La1 La 0.500 0.000 0.221
La2 La 0.000 0.500 0.779
Pa1 Pa 0.500 0.500 0.500
As1 As 0.000 0.000 0.500
As2 As 0.500 0.000 0.878
As3 As 0.000 0.500 0.122
Pt1 Pt 0.500 0.500 0.000
Pt2 Pt 0.000 0.000 0.000
Pt3 Pt 0.500 0.000 0.667
Pt4 Pt 0.000 0.500 0.333

# ScZnBr4 GGA-PBE optimized geometry
# SG: F-43m (216)
# Formation energy (no corrections) (eV per atom): 0.3061
# Volume (Å³/cell): 172.57
data_ScZnBr4
_chemical_formula_sum 'Sc1 Zn1 Br4'
_cell_length_a 6.249
_cell_length_b 6.249
_cell_length_c 6.249
_cell_angle_alpha 60.00
_cell_angle_beta 60.00
_cell_angle_gamma 60.00
_space_group_name_H-M_alt 'P 1'
_space_group_IT_number 1
loop_
_space_group_symop_operation_xyz
'x,y,z'
loop_
_atom_site_label
_atom_site_type_symbol
_atom_site_fract_x
_atom_site_fract_y
_atom_site_fract_z
Sc1 Sc 0.750 0.750 0.750
Zn1 Zn 0.000 0.000 0.000
Br1 Br 0.874 0.375 0.375
Br2 Br 0.375 0.375 0.874
Br3 Br 0.375 0.874 0.375
Br4 Br 0.375 0.375 0.375